(1)
Here is a relaxed structure of ZrBSeN2 from the Alexandria database. Energies are from PBE.

Computed properties:
**Space group**: P4/mmm (123)
**ΔE to the lowest computed polymorph**: 468 meV/atom
**Calculated density**: 3.6 Mg/m³

Unit cell a=4.068 b=4.068 c=5.752 alpha=90.00 beta=90.00 gamma=90.00
Fractional coordinates of all 5 atoms:
B  0.500  0.500  0.500
Zr  0.000  0.000  0.000
N  0.000  0.500  0.000
N  0.500  0.000  0.000
Se  0.000  0.000  0.500



(2)
Here is a relaxed structure of HgSb from the Alexandria database. Energies are from PBE.

Computed properties:
**Space group**: P4_2/mnm (136)
**ΔE to the lowest computed polymorph**: 191 meV/atom
**Calculated density**: 7.7 Mg/m³

Unit cell a=7.282 b=7.282 c=5.263 alpha=90.00 beta=90.00 gamma=90.00
Fractional coordinates of all 8 atoms:
Hg  0.245  0.245  0.000
Hg  0.255  0.745  0.500
Hg  0.755  0.755  0.000
Hg  0.745  0.255  0.500
Sb  0.645  0.355  0.000
Sb  0.355  0.645  0.000
Sb  0.855  0.855  0.500
Sb  0.145  0.145  0.500



What did the second record say?
Here is a relaxed structure of HgSb from the Alexandria database. Energies are from PBE.

Computed properties:
**Space group**: P4_2/mnm (136)
**ΔE to the lowest computed polymorph**: 191 meV/atom
**Calculated density**: 7.7 Mg/m³

Unit cell a=7.282 b=7.282 c=5.263 alpha=90.00 beta=90.00 gamma=90.00
Fractional coordinates of all 8 atoms:
Hg  0.245  0.245  0.000
Hg  0.255  0.745  0.500
Hg  0.755  0.755  0.000
Hg  0.745  0.255  0.500
Sb  0.645  0.355  0.000
Sb  0.355  0.645  0.000
Sb  0.855  0.855  0.500
Sb  0.145  0.145  0.500